A plane-wave DFT calculation with PBE-GGA was carried out for an optimized crystal structure of Zn2PbO.

Unit cell a=6.0982 b=6.0982 c=6.0982 alpha=120.96 beta=120.96 gamma=88.35
With the nearest neighbours (Å) after each atom.
Positions (direct):
1 Zn 0.0093 0.6250 0.8843  2 O 2.03
2 Zn 0.3750 0.2593 0.3843  2 O 2.03
3 Zn 0.7407 0.1250 0.1157  2 O 2.03
4 Zn 0.8750 0.9907 0.6157  2 O 2.03
5 Pb 0.2500 0.7500 0.5000  4 Zn 2.88
6 Pb 0.5000 0.5000 0.0000  4 Zn 2.88
7 O 0.0000 0.0000 0.0000  4 Zn 2.03
8 O 0.7500 0.2500 0.5000  4 Zn 2.03

Calculated values
Excess energy over the best structure of this formula in the dataset ... 0.00 eV/f.u.
ΔE_f (raw) ... -0.43 eV per atom
Space group ... I-42d, No. 122